(1)
# TiTlGe2

A geometry-optimized TiTlGe2 structure (PBE, Alexandria via LeMat-Bulk).

abc: 7.797 7.797 6.215
angles: 51.15 51.15 90.00
Atoms (fractional coordinates):
Ge 0.167 0.625 0.250
Tl 0.000 0.000 0.000
Ti 0.250 0.750 0.500
Ge 0.875 0.833 0.750
Ge 0.375 0.417 0.750
Tl 0.750 0.250 0.500
Ge 0.583 0.125 0.250
Ti 0.500 0.500 0.000

## Properties
Its formation energy from the elements is 265 meV per atom. The value obtained for the density of states at the Fermi level is 0.60 states/eV/atom.



(2)
# TiTlGe2

A geometry-optimized TiTlGe2 structure (PBE, Alexandria via LeMat-Bulk).

abc: 4.885 4.885 4.885
angles: 60.00 60.00 60.00
Atoms (fractional coordinates):
Ge 0.250 0.250 0.250
Ti 0.000 0.000 0.000
Ge 0.750 0.750 0.750
Tl 0.500 0.500 0.500

## Properties
Its formation energy from the elements is 377 meV per atom. The value obtained for the density of states at the Fermi level is 1.87 states/eV/atom.



E list, top to bottom, in eV per atom: -4.609; -4.497
Size of the total moment list, top to bottom, in μB per cell: 0.00; 0.01